Entry 1:
Entry from Alexandria via LeMat-Bulk: CuB3P after structural relaxation (PBE).

Properties
excess energy over the best structure of this formula in the dataset: 0 meV per atom
SG: No. 221
formation enthalpy at 0 K: 1.527 eV per atom

a = 3.8517 Å, b = 3.8517 Å, c = 3.8517 Å
α = 90.00°, β = 90.00°, γ = 90.00°
Closest atoms and distances in Å follow each position.
Sites, in units of the cell vectors:
P1 0.0000 0.0000 0.0000  6 B 1.93
B1 0.0000 0.5000 0.0000  2 P 1.93
B2 0.0000 0.0000 0.5000  2 P 1.93
B3 0.5000 0.0000 0.0000  2 P 1.93
Cu1 0.5000 0.5000 0.5000  12 B 2.72

=====

Entry 2:
Entry from Alexandria via LeMat-Bulk: Rb2BaVIr after structural relaxation (PBE).

Properties
SG: No. 123
formation enthalpy at 0 K: 2.175 eV per atom

a = 6.9640 Å, b = 4.9854 Å, c = 6.9640 Å
α = 90.00°, β = 90.00°, γ = 90.00°
Closest atoms and distances in Å follow each position.
Sites, in units of the cell vectors:
Ir1 0.5000 0.5000 0.5000  8 Rb 4.28
Ba1 0.0000 0.0000 0.0000  2 V 2.49
Rb1 0.0000 0.0000 0.5000  2 Ba 3.48
Rb2 0.5000 0.0000 0.0000  2 Ba 3.48
V1 0.0000 0.5000 0.0000  2 Ba 2.49

=====

Entry 3:
Entry from Alexandria via LeMat-Bulk: MnMo4Pt after structural relaxation (PBE).

Properties
SG: No. 216
formation enthalpy at 0 K: 0.308 eV per atom

a = 5.1731 Å, b = 5.1731 Å, c = 5.1731 Å
α = 60.00°, β = 60.00°, γ = 60.00°
Closest atoms and distances in Å follow each position.
Sites, in units of the cell vectors:
Mn1 0.0000 0.0000 0.0000  12 Mo 3.03, 4 Pt 3.17
Mo1 0.8783 0.3739 0.3739  6 Mo 2.56-2.61
Mo2 0.3739 0.3739 0.8783  6 Mo 2.56-2.61
Mo3 0.3739 0.8783 0.3739  6 Mo 2.56-2.61
Mo4 0.3739 0.3739 0.3739  6 Mo 2.56-2.61
Pt1 0.7500 0.7500 0.7500  12 Mo 3.04, 4 Mn 3.17

=====

Entry 4:
Entry from Alexandria via LeMat-Bulk: Cs2SrCdBr6 after structural relaxation (PBE).

Properties
uncorrected formation energy: -1.62 eV/atom
excess energy over the best structure of this formula in the dataset: 0 meV per atom
SG: No. 225

a = 8.2174 Å, b = 8.2174 Å, c = 8.2178 Å
α = 60.00°, β = 60.00°, γ = 90.00°
Closest atoms and distances in Å follow each position.
Sites, in units of the cell vectors:
Cs1 0.7500 0.2500 0.5000  12 Br 4.11
Cs2 0.2500 0.7500 0.5000  12 Br 4.11
Sr1 0.5000 0.5000 0.0000  6 Br 3.01
Br1 0.2410 0.2410 0.5181  1 Cd 2.80, 1 Sr 3.01
Br2 0.7590 0.7590 0.4819  1 Cd 2.80, 1 Sr 3.01
Br3 0.2409 0.2409 0.0000  1 Cd 2.80, 1 Sr 3.01
Br4 0.7591 0.7591 0.0000  1 Cd 2.80, 1 Sr 3.01
Br5 0.7591 0.2409 0.0000  1 Cd 2.80, 1 Sr 3.01
Br6 0.2409 0.7591 0.0000  1 Cd 2.80, 1 Sr 3.01
Cd1 0.0000 0.0000 0.0000  6 Br 2.80